Record 1
Below is PmY3Hg2 after structural relaxation, with properties calculated at the PBE level.

## Properties
- Symmetry: Pmc2_1
- ΔE_f: -373 meV per atom
- Offset from the most stable computed form: 0 meV/atom

Unit cell a=5.132 b=9.334 c=7.167 alpha=90.00 beta=90.00 gamma=90.00
Element x y z (fractional)
Pm (0.000, 0.058, 0.000)
Pm (0.000, 0.942, 0.500)
Y (0.000, 0.328, 0.652)
Y (0.000, 0.672, 0.152)
Y (0.500, 0.177, 0.317)
Y (0.500, 0.443, 0.968)
Y (0.500, 0.557, 0.468)
Y (0.500, 0.823, 0.817)
Hg (0.000, 0.354, 0.225)
Hg (0.000, 0.646, 0.725)
Hg (0.500, 0.150, 0.744)
Hg (0.500, 0.850, 0.244)



Record 2
Below is Li2ErPdO4 after structural relaxation, with properties calculated at the PBE level.

## Properties
- Symmetry: P2/m
- ΔE_f (raw): -1893 meV per atom

Unit cell a=5.256 b=3.321 c=5.349 alpha=90.00 beta=107.62 gamma=90.00
Element x y z (fractional)
Li (0.000, 0.000, 0.000)
Li (0.500, 0.500, 0.000)
Er (0.000, 0.500, 0.500)
Pd (0.500, 0.000, 0.500)
O (0.248, 0.000, 0.737)
O (0.271, 0.500, 0.250)
O (0.729, 0.500, 0.750)
O (0.752, 0.000, 0.263)



Record 3
Below is La3MgNi8 after structural relaxation, with properties calculated at the PBE level.

## Properties
- Symmetry: R3m
- ΔE_f: -327 meV per atom

Unit cell a=8.938 b=8.938 c=8.938 alpha=33.18 beta=33.18 gamma=33.18
Element x y z (fractional)
La (0.000, 0.000, 0.000)
La (0.127, 0.127, 0.127)
La (0.618, 0.618, 0.618)
Mg (0.496, 0.496, 0.496)
Ni (0.058, 0.058, 0.559)
Ni (0.058, 0.559, 0.058)
Ni (0.067, 0.561, 0.561)
Ni (0.310, 0.310, 0.310)
Ni (0.559, 0.058, 0.058)
Ni (0.561, 0.067, 0.561)
Ni (0.561, 0.561, 0.067)
Ni (0.812, 0.812, 0.812)



Record 4
Below is LiTmCl4 after structural relaxation, with properties calculated at the PBE level.

## Properties
- Symmetry: C2/c
- ΔE_f (raw): -2088 meV per atom
- Offset from the most stable computed form: 17 meV/atom

Unit cell a=9.408 b=9.408 c=6.346 alpha=105.76 beta=105.76 gamma=128.92
Element x y z (fractional)
Li (0.136, 0.864, 0.750)
Li (0.864, 0.136, 0.250)
Tm (0.327, 0.673, 0.250)
Tm (0.673, 0.327, 0.750)
Cl (0.008, 0.416, 0.728)
Cl (0.198, 0.355, 0.277)
Cl (0.355, 0.198, 0.777)
Cl (0.416, 0.008, 0.228)
Cl (0.584, 0.992, 0.772)
Cl (0.645, 0.802, 0.223)
Cl (0.802, 0.645, 0.723)
Cl (0.992, 0.584, 0.272)



Record 5
Below is Ce6SnSb2Te3 after structural relaxation, with properties calculated at the PBE level.

## Properties
- Symmetry: C2/m
- ΔE_f (raw): -1137 meV per atom

Unit cell a=10.054 b=10.054 c=8.974 alpha=102.26 beta=102.26 gamma=26.02
Element x y z (fractional)
Ce (0.001, 0.001, 0.247)
Ce (0.332, 0.332, 0.419)
Ce (0.335, 0.335, 0.914)
Ce (0.665, 0.665, 0.086)
Ce (0.668, 0.668, 0.581)
Ce (0.999, 0.999, 0.753)
Sn (0.500, 0.500, 0.000)
Sb (0.167, 0.167, 0.334)
Sb (0.833, 0.833, 0.666)
Te (0.167, 0.167, 0.833)
Te (0.500, 0.500, 0.500)
Te (0.833, 0.833, 0.167)



Record 6
Below is EuTlCuPb after structural relaxation, with properties calculated at the PBE level.

## Properties
- Symmetry: F-43m
- ΔE_f: -89 meV per atom

Unit cell a=7.482 b=7.482 c=7.482 alpha=90.00 beta=90.00 gamma=90.00
Element x y z (fractional)
Eu (0.000, 0.000, 0.000)
Eu (0.000, 0.500, 0.500)
Eu (0.500, 0.000, 0.500)
Eu (0.500, 0.500, 0.000)
Tl (0.250, 0.250, 0.750)
Tl (0.250, 0.750, 0.250)
Tl (0.750, 0.250, 0.250)
Tl (0.750, 0.750, 0.750)
Cu (0.250, 0.250, 0.250)
Cu (0.250, 0.750, 0.750)
Cu (0.750, 0.250, 0.750)
Cu (0.750, 0.750, 0.250)
Pb (0.000, 0.000, 0.500)
Pb (0.000, 0.500, 0.000)
Pb (0.500, 0.000, 0.000)
Pb (0.500, 0.500, 0.500)



| no. | total moment (μB/atom) |
| --- | --- |
| 1 | 0.00 |
| 2 | 0.11 |
| 3 | 0.00 |
| 4 | 0.00 |
| 5 | 0.51 |
| 6 | 1.80 |